The following is a PBE calculation of a relaxed structure of Pd3Pb, from Alexandria via LeMat-Bulk.

```
data_Pd3Pb
_cell_length_a 9.0236
_cell_length_b 9.0236
_cell_length_c 3.0421
_cell_angle_alpha 90.00
_cell_angle_beta 90.00
_cell_angle_gamma 120.00
_symmetry_space_group_name_H-M 'R -3 m'
_symmetry_Int_Tables_number 166
_symmetry_space_group_name_Hall '-R 3 2"'
loop_
_atom_site_label
_atom_site_fract_x
_atom_site_fract_y
_atom_site_fract_z
Pd1 0.0000 0.5000 0.0000
Pb1 0.0000 0.0000 0.0000
```



The following is a PBE calculation of a relaxed structure of NaPmCdSi, from Alexandria via LeMat-Bulk.

## Properties
- Formation energy (no corrections): -189 meV per atom

```
data_NaPmCdSi
_cell_length_a 7.267
_cell_length_b 7.267
_cell_length_c 7.267
_cell_angle_alpha 90.00
_cell_angle_beta 90.00
_cell_angle_gamma 90.00
_symmetry_space_group_name_H-M 'F -4 3 m'
_symmetry_Int_Tables_number 216
_symmetry_space_group_name_Hall 'F -4 2 3'
loop_
_atom_site_label
_atom_site_fract_x
_atom_site_fract_y
_atom_site_fract_z
Na1 0.000 0.000 0.000
Pm1 0.000 0.000 0.500
Cd1 0.250 0.250 0.750
Si1 0.250 0.250 0.250
```



The following is a PBE calculation of a relaxed structure of BSbH, from Alexandria via LeMat-Bulk.

## Properties
- Polymorph energy (0 for the lowest one): 169 meV per atom

```
data_BSbH
_cell_length_a 3.119
_cell_length_b 4.655
_cell_length_c 6.203
_cell_angle_alpha 90.52
_cell_angle_beta 103.51
_cell_angle_gamma 90.04
_symmetry_space_group_name_H-M 'P -1'
_symmetry_Int_Tables_number 2
loop_
_symmetry_equiv_pos_as_xyz
'x,y,z'
'-x,-y,-z'
loop_
_atom_site_label
_atom_site_fract_x
_atom_site_fract_y
_atom_site_fract_z
B1 0.222 0.498 0.440
Sb1 0.115 0.997 0.245
H1 0.124 0.496 0.227
```



The following is a PBE calculation of a relaxed structure of LiTbZn2, from Alexandria via LeMat-Bulk.

## Properties
- Polymorph energy (0 for the lowest one): 74 meV per atom

```
data_LiTbZn2
_cell_length_a 4.966
_cell_length_b 4.966
_cell_length_c 3.340
_cell_angle_alpha 90.00
_cell_angle_beta 90.00
_cell_angle_gamma 90.00
_symmetry_space_group_name_H-M 'P 4/m m m'
_symmetry_Int_Tables_number 123
_symmetry_space_group_name_Hall '-P 4 2'
loop_
_atom_site_label
_atom_site_fract_x
_atom_site_fract_y
_atom_site_fract_z
Li1 0.000 0.000 0.000
Tb1 0.500 0.500 0.000
Zn1 0.000 0.500 0.500
```



no.,M_tot (μB/cell),VASP energy (eV for the cell shown)
1,0.00,-58.89
2,0.00,-52.65
3,0.00,-26.29
4,0.00,-9.79